#a
First-principles (PBE) data for crystalline BaMoI3 at its relaxed geometry, as listed in the Alexandria database.

abc: 6.6881 6.6881 6.6881
angles: 90.00 90.00 90.00
With the nearest neighbours (Å) after each atom.
Fractional positions:
1 I 0.0000 0.5000 0.0000  2 Ba 3.34
2 I 0.0000 0.0000 0.5000  2 Ba 3.34
3 I 0.5000 0.0000 0.0000  2 Ba 3.34
4 Mo 0.5000 0.5000 0.5000  12 I 4.73
5 Ba 0.0000 0.0000 0.0000  6 I 3.34

Results
The space group is Pm-3m (221). For the density, the calculation gives 3.41 g cm⁻³.


#b
First-principles (PBE) data for crystalline BaMoI3 at its relaxed geometry, as listed in the Alexandria database.

abc: 5.7178 5.7178 5.7178
angles: 90.00 90.00 90.00
With the nearest neighbours (Å) after each atom.
Fractional positions:
1 I 0.0000 0.5000 0.0000  2 Mo 2.86
2 I 0.0000 0.0000 0.5000  2 Mo 2.86
3 I 0.5000 0.0000 0.0000  2 Mo 2.86
4 Mo 0.0000 0.0000 0.0000  6 I 2.86
5 Ba 0.5000 0.5000 0.5000  12 I 4.04

Results
The space group is Pm-3m (221). For the density, the calculation gives 5.45 g cm⁻³.


In kJ/mol of atoms, relative to the most stable structure: #a 41.4; #b 0.0.


#a
First-principles (PBE) data for crystalline BaMo3I at its relaxed geometry, as listed in the Alexandria database.

abc: 5.0621 5.0621 5.0621
angles: 90.00 90.00 90.00
With the nearest neighbours (Å) after each atom.
Fractional positions:
1 I 0.0000 0.0000 0.0000  6 Mo 2.53
2 Mo 0.0000 0.5000 0.0000  2 I 2.53
3 Mo 0.0000 0.0000 0.5000  2 I 2.53
4 Mo 0.5000 0.0000 0.0000  2 I 2.53
5 Ba 0.5000 0.5000 0.5000  12 Mo 3.58

Results
The space group is Pm-3m (221). For the density, the calculation gives 7.07 g cm⁻³.


#b
First-principles (PBE) data for crystalline BaMo3I at its relaxed geometry, as listed in the Alexandria database.

abc: 5.1317 5.1317 5.1317
angles: 90.00 90.00 90.00
With the nearest neighbours (Å) after each atom.
Fractional positions:
1 I 0.5000 0.5000 0.5000  12 Mo 3.63
2 Mo 0.0000 0.5000 0.0000  2 Ba 2.57
3 Mo 0.0000 0.0000 0.5000  2 Ba 2.57
4 Mo 0.5000 0.0000 0.0000  2 Ba 2.57
5 Ba 0.0000 0.0000 0.0000  6 Mo 2.57

Results
The space group is Pm-3m (221). For the density, the calculation gives 6.78 g cm⁻³.


In kJ/mol of atoms, relative to the most stable structure: #a 0.0; #b 130.4.


#a
First-principles (PBE) data for crystalline BaMoI2N at its relaxed geometry, as listed in the Alexandria database.

abc: 5.8550 5.8550 3.9546
angles: 90.00 90.00 90.00
With the nearest neighbours (Å) after each atom.
Fractional positions:
1 I 0.0000 0.5000 0.0000  2 Mo 2.93
2 I 0.5000 0.0000 0.0000  2 Mo 2.93
3 Mo 0.0000 0.0000 0.0000  2 N 1.98
4 Ba 0.5000 0.5000 0.5000  8 I 3.53, 2 Ba 3.95
5 N 0.0000 0.0000 0.5000  2 Mo 1.98

Results
The space group is P4/mmm (123). For the density, the calculation gives 6.14 g cm⁻³.


#b
First-principles (PBE) data for crystalline BaMoI2N at its relaxed geometry, as listed in the Alexandria database.

abc: 6.7078 6.7078 4.5409
angles: 90.00 90.00 90.00
With the nearest neighbours (Å) after each atom.
Fractional positions:
1 I 0.0000 0.5000 0.0000  2 Ba 3.35
2 I 0.5000 0.0000 0.0000  2 Ba 3.35
3 Mo 0.5000 0.5000 0.5000  8 I 4.05
4 Ba 0.0000 0.0000 0.0000  2 N 2.27
5 N 0.0000 0.0000 0.5000  2 Ba 2.27

Results
The space group is P4/mmm (123). For the density, the calculation gives 4.07 g cm⁻³.


In kJ/mol of atoms, relative to the most stable structure: #a 0.0; #b 142.6.


#a
First-principles (PBE) data for crystalline BaMoIN2 at its relaxed geometry, as listed in the Alexandria database.

abc: 4.6653 4.6653 7.1915
angles: 90.00 90.00 90.00
With the nearest neighbours (Å) after each atom.
Fractional positions:
1 I 0.0000 0.0000 0.5000  4 Mo 3.30, 2 Ba 3.60
2 Mo 0.5000 0.5000 0.5000  4 I 3.30
3 Ba 0.0000 0.0000 0.0000  4 N 2.33
4 N 0.0000 0.5000 0.0000  2 Ba 2.33
5 N 0.5000 0.0000 0.0000  2 Ba 2.33

Results
The space group is P4/mmm (123). For the density, the calculation gives 4.12 g cm⁻³.


#b
First-principles (PBE) data for crystalline BaMoIN2 at its relaxed geometry, as listed in the Alexandria database.

abc: 4.3014 4.3014 5.5560
angles: 90.00 90.00 90.00
With the nearest neighbours (Å) after each atom.
Fractional positions:
1 I 0.0000 0.0000 0.5000  2 Mo 2.78, 4 Ba 3.04
2 Mo 0.0000 0.0000 0.0000  4 N 2.15
3 Ba 0.5000 0.5000 0.5000  4 I 3.04
4 N 0.0000 0.5000 0.0000  2 Mo 2.15
5 N 0.5000 0.0000 0.0000  2 Mo 2.15

Results
The space group is P4/mmm (123). For the density, the calculation gives 6.27 g cm⁻³.


In kJ/mol of atoms, relative to the most stable structure: #a 171.8; #b 0.0.